# LaNdCdRu

An optimized crystal structure of LaNdCdRu (PBE, the Alexandria database).

## Properties
size of the total moment	0.000	μB/f.u.
ρ	7.95	g/cm³
space-group type	No. 99
energy above the lowest structure with this stoichiometry	0.00	eV per formula unit
energy relative to the elements	-24	kJ/mol of atoms
calculated total energy	-5.216	eV/atom
crystal system	tetragonal

Structure (POSCAR):
```
LaNdCdRu
1.0
-3.3718 -0.9245 0.7755
0.1563 -2.6168 -2.4400
2.7013 -5.1098 5.6531
Cd La Ru Nd
1 1 1 1
direct
0.0000 0.0000 0.0786
0.5000 0.5000 0.7841
0.0000 0.0000 0.5673
0.5000 0.5000 0.3547
```